No. 1
The following is a DFT calculation (GGA-PBE) of an optimized crystal structure of HoGa12Rh7.

abc: 7.9104 7.9104 7.9104
angles: 109.47 109.47 109.47
Positions (direct):
Ga (0.7792, 0.4441, 0.6649)
Ga (0.2208, 0.8857, 0.6649)
Ga (0.1143, 0.3351, 0.7792)
Ga (0.5559, 0.3351, 0.2208)
Ga (0.3351, 0.2208, 0.5559)
Ga (0.4441, 0.6649, 0.7792)
Ga (0.6649, 0.2208, 0.8857)
Ga (0.7792, 0.1143, 0.3351)
Ga (0.6649, 0.7792, 0.4441)
Ga (0.8857, 0.6649, 0.2208)
Ga (0.3351, 0.7792, 0.1143)
Ga (0.2208, 0.5559, 0.3351)
Rh (0.5000, 0.5000, 0.0000)
Rh (0.0000, 0.5000, 0.5000)
Rh (0.0000, 0.0000, 0.5000)
Rh (0.5000, 0.5000, 0.5000)
Rh (0.0000, 0.5000, 0.0000)
Rh (0.5000, 0.0000, 0.0000)
Rh (0.5000, 0.0000, 0.5000)
Ho (0.0000, 0.0000, 0.0000)

* energy of formation: -200 meV per atom
* space-group type: Im-3

No. 2
The following is a DFT calculation (GGA-PBE) of an optimized crystal structure of DySI.

abc: 4.1741 5.3564 10.4341
angles: 90.00 90.00 90.00
Positions (direct):
S (0.5000, 0.0000, 0.9396)
S (0.0000, 0.5000, 0.0604)
I (0.5000, 0.0000, 0.3233)
I (0.0000, 0.5000, 0.6767)
Dy (0.5000, 0.5000, 0.8904)
Dy (0.0000, 0.0000, 0.1096)

* raw formation energy: -1814 meV per atom
* polymorph energy (0 for the lowest one): 0.000 eV per atom
* space-group type: Pmmn

No. 3
The following is a DFT calculation (GGA-PBE) of an optimized crystal structure of La8Si3I4N.

abc: 8.5233 9.3829 8.5243
angles: 117.03 120.00 90.00
Positions (direct):
La (0.7859, 0.3137, 0.5718)
La (0.7586, 0.6861, 0.9723)
La (0.2662, 0.2987, 0.5324)
La (0.2138, 0.6861, 0.9723)
La (0.7862, 0.3139, 0.0277)
La (0.2414, 0.3139, 0.0277)
La (0.7338, 0.7013, 0.4676)
La (0.2141, 0.6863, 0.4282)
I (0.0000, 0.0000, 0.5000)
I (0.0000, 0.0000, 0.0000)
I (0.5000, 0.0000, 0.5000)
I (0.5000, 0.0000, 0.0000)
Si (0.5000, 0.5000, 0.0000)
Si (0.0000, 0.5000, 0.5000)
Si (0.5000, 0.5000, 0.5000)
N (0.0000, 0.5000, 0.0000)

* raw formation energy: -1053 meV per atom
* space-group type: R-3m

No. 4
The following is a DFT calculation (GGA-PBE) of an optimized crystal structure of Mn2HgBr6.

abc: 6.9036 10.3936 10.3936
angles: 90.32 72.70 72.70
Site moments in Bohr magnetons follow the coordinates.
Positions (direct):
Br (0.4150, 0.0128, 0.2028)  0.05
Br (0.1079, 0.1668, 0.5899)  0.05
Br (0.6079, 0.5899, 0.1668)  0.05
Br (0.8921, 0.8332, 0.4101)  0.05
Br (0.1437, 0.4119, 0.2702)  0.08
Br (0.9150, 0.2028, 0.0128)  0.05
Br (0.0850, 0.7972, 0.9872)  0.05
Br (0.8563, 0.5881, 0.7298)  0.08
Br (0.5850, 0.9872, 0.7972)  0.05
Br (0.3563, 0.7298, 0.5881)  0.08
Br (0.3921, 0.4101, 0.8332)  0.05
Br (0.6437, 0.2702, 0.4119)  0.08
Hg (0.7500, 0.7942, 0.2058)  0.03
Hg (0.2500, 0.2058, 0.7942)  0.03
Mn (0.1591, 0.6321, 0.7904)  4.35
Mn (0.3409, 0.2096, 0.3679)  4.35
Mn (0.6591, 0.7904, 0.6321)  4.35
Mn (0.8409, 0.3679, 0.2096)  4.35

* raw formation energy: -645 meV per atom
* polymorph energy (0 for the lowest one): 0.000 eV per atom
* space-group type: C2/c

No. 5
The following is a DFT calculation (GGA-PBE) of an optimized crystal structure of Cs3BaP2O8.

abc: 6.3017 6.3017 8.5773
angles: 90.00 90.00 120.00
Site moments in Bohr magnetons follow the coordinates.
Positions (direct):
O (0.6038, 0.8019, 0.3152)  0.08
O (0.8019, 0.6038, 0.6848)  0.08
O (0.3333, 0.6667, 0.0751)  0.21
O (0.8019, 0.1981, 0.6848)  0.08
O (0.3962, 0.1981, 0.6848)  0.08
O (0.1981, 0.8019, 0.3152)  0.08
O (0.1981, 0.3962, 0.3152)  0.08
O (0.6667, 0.3333, 0.9249)  0.21
P (0.3333, 0.6667, 0.2563)  -0.01
P (0.6667, 0.3333, 0.7437)  -0.01
Cs (0.6667, 0.3333, 0.2694)  0.00
Cs (0.3333, 0.6667, 0.7306)  0.00
Cs (0.0000, 0.0000, 0.0000)  0.00
Ba (0.0000, 0.0000, 0.5000)  0.00

* raw formation energy: -2298 meV per atom
* space-group type: P-3m1

No. 6
The following is a DFT calculation (GGA-PBE) of an optimized crystal structure of Ba2CdPt.

abc: 4.5806 4.5806 9.1421
angles: 75.55 75.55 59.95
Positions (direct):
Pt (0.2500, 0.2500, 0.2500)
Ba (0.5176, 0.5176, 0.4483)
Ba (0.9824, 0.9824, 0.0517)
Cd (0.7500, 0.7500, 0.7500)

* energy of formation: -481 meV per atom
* space-group type: C2/m

No. 7
The following is a DFT calculation (GGA-PBE) of an optimized crystal structure of RbBiPCl2.

abc: 5.6889 5.6889 5.3612
angles: 90.00 90.00 90.00
Site moments in Bohr magnetons follow the coordinates.
Positions (direct):
Rb (0.5000, 0.5000, 0.5000)  0.00
Cl (0.0000, 0.5000, 0.0000)  0.02
Cl (0.5000, 0.0000, 0.0000)  0.02
Bi (0.0000, 0.0000, 0.0000)  -0.06
P (0.0000, 0.0000, 0.5000)  0.28

* raw formation energy: -574 meV per atom
* polymorph energy (0 for the lowest one): 0.000 eV per atom
* space-group type: P4/mmm

No. 8
The following is a DFT calculation (GGA-PBE) of an optimized crystal structure of KZr2InCu.

abc: 5.5300 4.9518 5.5300
angles: 90.00 90.00 90.00
Positions (direct):
Cu (0.0000, 0.5000, 0.0000)
K (0.5000, 0.5000, 0.5000)
Zr (0.5000, 0.0000, 0.0000)
Zr (0.0000, 0.0000, 0.5000)
In (0.0000, 0.0000, 0.0000)

* energy of formation: 1071 meV per atom
* space-group type: P4/mmm

No. 9
The following is a DFT calculation (GGA-PBE) of an optimized crystal structure of RbTlBP.

abc: 4.5134 4.9447 5.8622
angles: 76.62 84.56 80.17
Positions (direct):
B (0.5556, 0.0700, 0.8720)
Rb (0.6250, 0.5238, 0.3256)
P (0.2231, 0.2398, 0.9897)
Tl (0.0634, 0.8776, 0.6963)

* energy of formation: 303 meV per atom
* polymorph energy (0 for the lowest one): 0.165 eV per atom
* space-group type: P1

No. 10
The following is a DFT calculation (GGA-PBE) of an optimized crystal structure of SrMgCo.

abc: 6.3181 7.1950 7.5516
angles: 90.00 90.00 116.04
Site moments in Bohr magnetons follow the coordinates.
Positions (direct):
Co (0.5815, 0.1630, 0.5358)  1.23
Co (0.0815, 0.1630, 0.9642)  1.23
Co (0.4185, 0.8370, 0.4642)  1.23
Co (0.9185, 0.8370, 0.0358)  1.23
Mg (0.2897, 0.0794, 0.2500)  -0.01
Mg (0.7103, 0.9206, 0.7500)  -0.01
Mg (0.2103, 0.9206, 0.7500)  -0.01
Mg (0.7897, 0.0794, 0.2500)  -0.01
Sr (0.1884, 0.3768, 0.5991)  -0.02
Sr (0.8116, 0.6232, 0.4009)  -0.02
Sr (0.3116, 0.6232, 0.0991)  -0.02
Sr (0.6884, 0.3768, 0.9009)  -0.02

* energy of formation: 181 meV per atom
* space-group type: Cmce

No. 11
The following is a DFT calculation (GGA-PBE) of an optimized crystal structure of NbAgW2.

abc: 7.3580 7.3580 5.8761
angles: 51.24 51.24 90.00
Positions (direct):
W (0.8750, 0.8731, 0.7500)
W (0.3750, 0.3769, 0.7500)
W (0.6231, 0.1250, 0.2500)
W (0.1269, 0.6250, 0.2500)
Nb (0.2500, 0.7500, 0.5000)
Nb (0.5000, 0.5000, 0.0000)
Ag (0.0000, 0.0000, 0.0000)
Ag (0.7500, 0.2500, 0.5000)

* energy of formation: 1190 meV per atom
* polymorph energy (0 for the lowest one): 0.524 eV per atom
* space-group type: I-42d

| no. | E (eV/atom) |
| --- | --- |
| 1 | -4.818 |
| 2 | -5.241 |
| 3 | -5.441 |
| 4 | -3.831 |
| 5 | -6.224 |
| 6 | -3.182 |
| 7 | -3.364 |
| 8 | -3.934 |
| 9 | -3.553 |
| 10 | -3.280 |
| 11 | -8.517 |